Compound: KCe3I8
Source: Alexandria via LeMat-Bulk
Functional: PBE
Structure: relaxed

The structure belongs to space group C2/m (No. 12); the cell edges are 16.1108, 9.3119 and 9.4808 Å and the angles 90.00°, 125.18° and 90.00°. The asymmetric unit holds K at (0.0000, 0.0000, 0.0000), Ce at (0.0000, 0.5000, 0.0000), Ce at (0.2500, 0.2500, 0.0000), I at (0.0058, 0.2659, 0.7561), I at (0.2401, 0.5000, 0.7563) and I at (0.2479, 0.5000, 0.2397).

As for the formation energy (no corrections): -1.29 eV per atom. Its total energy is -3.90 eV per atom.

***

Compound: K3CeI8
Source: Alexandria via LeMat-Bulk
Functional: PBE
Structure: relaxed

The structure belongs to space group I4/mmm (No. 139); the cell edges are 8.1854, 8.1854 and 16.3868 Å and the angles 90.00°, 90.00° and 90.00°. The asymmetric unit holds K at (0.0000, 0.0000, 0.0000), K at (0.0000, 0.5000, 0.2500), Ce at (0.0000, 0.0000, 0.5000) and I at (0.2291, 0.2291, 0.3852).

As for the formation energy (no corrections): -1.11 eV per atom. Its total energy is -2.91 eV per atom.

***

Compound: K2CeI4
Source: Alexandria via LeMat-Bulk
Functional: PBE
Structure: relaxed

The structure belongs to space group I4/mmm (No. 139); the cell edges are 6.2915, 6.2915 and 17.8938 Å and the angles 90.00°, 90.00° and 90.00°. The asymmetric unit holds K at (0.0000, 0.0000, 0.1303), Ce at (0.0000, 0.0000, 0.5000), I at (0.0000, 0.0000, 0.3220) and I at (0.0000, 0.5000, 0.0000).

As for the formation energy (no corrections): -1.23 eV per atom. The energy relative to the lowest polymorph listed for this composition comes out at 0.048 eV per atom. Its total energy is -3.28 eV per atom.

***

Compound: KCeI5
Source: Alexandria via LeMat-Bulk
Functional: PBE
Structure: relaxed

The structure belongs to space group C2/c (No. 15); the cell edges are 14.4418, 9.9721 and 12.2095 Å and the angles 90.00°, 115.82° and 90.00°. The asymmetric unit holds K at (0.0000, 0.0638, 0.2500), Ce at (0.0000, 0.5000, 0.0000), I at (0.0000, 0.4350, 0.2500), I at (0.0172, 0.2031, 0.9690) and I at (0.2276, 0.4787, 0.6209).

As for the formation energy (no corrections): -1.20 eV per atom. Its total energy is -3.31 eV per atom.

***

Compound: KCeI3
Source: Alexandria via LeMat-Bulk
Functional: PBE
Structure: relaxed

The structure belongs to space group Pm-3m (No. 221); the cell edges are 6.3146, 6.3146 and 6.3146 Å and the angles 90.00°, 90.00° and 90.00°. The asymmetric unit holds K at (0.0000, 0.0000, 0.0000), Ce at (0.5000, 0.5000, 0.5000) and I at (0.0000, 0.5000, 0.5000).

As for the formation energy (no corrections): -1.16 eV per atom. The energy relative to the lowest polymorph listed for this composition comes out at 0.142 eV per atom. Its total energy is -3.49 eV per atom.

***

Compound: KCeI3
Source: Alexandria via LeMat-Bulk
Functional: PBE
Structure: relaxed

The structure belongs to space group C2/m (No. 12); the cell edges are 16.6230, 4.4195 and 12.5180 Å and the angles 90.00°, 106.26° and 90.00°. The asymmetric unit holds K at (0.0548, 0.0000, 0.3724), Ce at (0.2381, 0.5000, 0.8671), I at (0.1075, 0.0000, 0.9097), I at (0.1154, 0.5000, 0.6132) and I at (0.1519, 0.5000, 0.2227).

As for the formation energy (no corrections): -1.30 eV per atom. The energy relative to the lowest polymorph listed for this composition comes out at 0.000 eV per atom. Its total energy is -3.64 eV per atom.

***

Compound: KCe2I6
Source: Alexandria via LeMat-Bulk
Functional: PBE
Structure: relaxed

The structure belongs to space group P-31m (No. 162); the cell edges are 8.0762, 8.0762 and 8.0389 Å and the angles 90.00°, 90.00° and 120.00°. The asymmetric unit holds K at (0.0000, 0.0000, 0.0000), Ce at (0.3333, 0.6667, 0.5000) and I at (0.0000, 0.3584, 0.7348).

As for the formation energy (no corrections): -1.34 eV per atom. Its total energy is -3.82 eV per atom.

***

Compound: K3CeI6
Source: Alexandria via LeMat-Bulk
Functional: PBE
Structure: relaxed

The structure belongs to space group P2_1/c (No. 14); the cell edges are 8.4346, 9.1717 and 14.8923 Å and the angles 90.00°, 123.63° and 90.00°. The asymmetric unit holds K at (0.0000, 0.0000, 0.0000), K at (0.2071, 0.0929, 0.7458), Ce at (0.5000, 0.0000, 0.5000), I at (0.1314, 0.1761, 0.4349), I at (0.2607, 0.7077, 0.4236) and I at (0.4079, 0.0544, 0.2659).

As for the formation energy (no corrections): -1.43 eV per atom. The energy relative to the lowest polymorph listed for this composition comes out at 0.000 eV per atom. Its total energy is -3.29 eV per atom.

***

Compound: K3Ce2I8
Source: Alexandria via LeMat-Bulk
Functional: PBE
Structure: relaxed

The structure belongs to space group C2/m (No. 12); the cell edges are 17.3308, 9.3606 and 8.4744 Å and the angles 90.00°, 106.04° and 90.00°. The asymmetric unit holds K at (0.0000, 0.0000, 0.0000), K at (0.0000, 0.2595, 0.5000), Ce at (0.2504, 0.0000, 0.5075), I at (0.1278, 0.0000, 0.7315), I at (0.1380, 0.5000, 0.7266) and I at (0.1435, 0.2453, 0.2705).

As for the formation energy (no corrections): -1.35 eV per atom. Its total energy is -3.47 eV per atom.

***

Compound: KLiCe2I8
Source: Alexandria via LeMat-Bulk
Functional: PBE
Structure: relaxed

The structure belongs to space group P-3 (No. 147); the cell edges are 8.0060, 8.0060 and 9.2471 Å and the angles 90.00°, 90.00° and 120.00°. The asymmetric unit holds K at (0.0000, 0.0000, 0.0000), Li at (0.0000, 0.0000, 0.5000), Ce at (0.3333, 0.6667, 0.4064), I at (0.0687, 0.3519, 0.6643) and I at (0.3333, 0.6667, 0.0772).

As for the formation energy (no corrections): -1.28 eV per atom. Its total energy is -3.56 eV per atom.

***

Compound: K2LiCeI6
Source: Alexandria via LeMat-Bulk
Functional: PBE
Structure: relaxed

The structure belongs to space group Fm-3m (No. 225); the cell edges are 12.1325, 12.1325 and 12.1325 Å and the angles 90.00°, 90.00° and 90.00°. The asymmetric unit holds K at (0.2500, 0.2500, 0.2500), Li at (0.0000, 0.0000, 0.0000), Ce at (0.0000, 0.0000, 0.5000) and I at (0.0000, 0.0000, 0.2435).

As for the formation energy (no corrections): -1.31 eV per atom. The energy relative to the lowest polymorph listed for this composition comes out at 0.053 eV per atom. Its total energy is -3.25 eV per atom.

***

Compound: K2LiCeI6
Source: Alexandria via LeMat-Bulk
Functional: PBE
Structure: relaxed

The structure belongs to space group P2_1/c (No. 14); the cell edges are 8.1885, 8.6603 and 14.3097 Å and the angles 90.00°, 124.34° and 90.00°. The asymmetric unit holds K at (0.2161, 0.0844, 0.2462), Li at (0.0000, 0.0000, 0.5000), Ce at (0.5000, 0.0000, 0.0000), I at (0.1340, 0.1994, 0.9456), I at (0.2539, 0.6935, 0.9477) and I at (0.3512, 0.0233, 0.7440).

As for the formation energy (no corrections): -1.37 eV per atom. The energy relative to the lowest polymorph listed for this composition comes out at 0.000 eV per atom. Its total energy is -3.30 eV per atom.